(1)
First-principles (PBE) data for a relaxed Mg2Cu2Si crystal, as listed in the Alexandria database.

**Fermi-level density of states**: 1.2 states/eV/f.u.
**ρ**: 4.3 g/cm3
**Formation energy without anion corrections**: -158 meV per atom
**ΔE to the lowest computed polymorph**: 0.000 eV per atom
**Electronic total energy**: -35.19 eV per cell

```
data_Mg2Cu2Si
_chemical_formula_sum 'Mg4 Cu4 Si2'
_cell_length_a 5.220
_cell_length_b 5.220
_cell_length_c 6.819
_cell_angle_alpha 104.20
_cell_angle_beta 104.20
_cell_angle_gamma 61.80
_space_group_name_H-M_alt 'P 1'
_space_group_IT_number 1
loop_
_space_group_symop_operation_xyz
'x,y,z'
loop_
_atom_site_label
_atom_site_type_symbol
_atom_site_fract_x
_atom_site_fract_y
_atom_site_fract_z
_atom_site_occupancy
Mg1 Mg 0.044 0.271 0.148 1
Mg2 Mg 0.271 0.044 0.648 1
Mg3 Mg 0.729 0.956 0.352 1
Mg4 Mg 0.956 0.729 0.852 1
Cu1 Cu 0.247 0.511 0.519 1
Cu2 Cu 0.489 0.753 0.981 1
Cu3 Cu 0.511 0.247 0.019 1
Cu4 Cu 0.753 0.489 0.481 1
Si1 Si 0.304 0.696 0.250 1
Si2 Si 0.696 0.304 0.750 1
```

(2)
First-principles (PBE) data for a relaxed Ta5TiCo6 crystal, as listed in the Alexandria database.

**Fermi-level density of states**: 10.7 states/eV/f.u.
**ρ**: 12.9 g/cm3
**Formation energy**: -0.224 eV/atom
**Electronic total energy**: -112.48 eV per cell

```
data_Ta5TiCo6
_chemical_formula_sum 'Ta5 Ti1 Co6'
_cell_length_a 7.182
_cell_length_b 7.182
_cell_length_c 7.182
_cell_angle_alpha 145.84
_cell_angle_beta 125.23
_cell_angle_gamma 66.15
_space_group_name_H-M_alt 'P 1'
_space_group_IT_number 1
loop_
_space_group_symop_operation_xyz
'x,y,z'
loop_
_atom_site_label
_atom_site_type_symbol
_atom_site_fract_x
_atom_site_fract_y
_atom_site_fract_z
_atom_site_occupancy
Ta1 Ta 0.000 0.000 0.000 1
Ta2 Ta 0.143 0.643 0.500 1
Ta3 Ta 0.314 0.314 0.000 1
Ta4 Ta 0.686 0.686 0.000 1
Ta5 Ta 0.857 0.357 0.500 1
Ti1 Ti 0.500 0.000 0.500 1
Co1 Co 0.117 0.833 0.284 1
Co2 Co 0.296 0.500 0.796 1
Co3 Co 0.451 0.167 0.284 1
Co4 Co 0.549 0.833 0.716 1
Co5 Co 0.704 0.500 0.204 1
Co6 Co 0.883 0.167 0.716 1
```

(3)
First-principles (PBE) data for a relaxed LiNd2TmS4 crystal, as listed in the Alexandria database.

**Fermi-level density of states**: 2.6 states/eV/f.u.
**ρ**: 5.6 g/cm3
**Formation energy without anion corrections**: -1911 meV per atom
**Electronic total energy**: -47.72 eV per cell

```
data_LiNd2TmS4
_chemical_formula_sum 'Li1 Nd2 Tm1 S4'
_cell_length_a 6.808
_cell_length_b 3.951
_cell_length_c 6.867
_cell_angle_alpha 90.00
_cell_angle_beta 109.35
_cell_angle_gamma 90.00
_space_group_name_H-M_alt 'P 1'
_space_group_IT_number 1
loop_
_space_group_symop_operation_xyz
'x,y,z'
loop_
_atom_site_label
_atom_site_type_symbol
_atom_site_fract_x
_atom_site_fract_y
_atom_site_fract_z
_atom_site_occupancy
Li1 Li 0.000 0.000 0.000 1
Nd1 Nd 0.000 0.500 0.500 1
Nd2 Nd 0.500 0.000 0.500 1
Tm1 Tm 0.500 0.500 0.000 1
S1 S 0.244 0.500 0.231 1
S2 S 0.255 0.000 0.771 1
S3 S 0.745 0.000 0.229 1
S4 S 0.756 0.500 0.769 1
```

(4)
First-principles (PBE) data for a relaxed Y5Sn3 crystal, as listed in the Alexandria database.

**Fermi-level density of states**: 7.3 states/eV/f.u.
**ρ**: 5.8 g/cm3
**Formation energy**: -0.695 eV/atom
**ΔE to the lowest computed polymorph**: 0.078 eV per atom
**Electronic total energy**: -99.77 eV per cell

```
data_Y5Sn3
_chemical_formula_sum 'Y10 Sn6'
_cell_length_a 8.995
_cell_length_b 8.995
_cell_length_c 8.995
_cell_angle_alpha 126.08
_cell_angle_beta 126.08
_cell_angle_gamma 79.75
_space_group_name_H-M_alt 'P 1'
_space_group_IT_number 1
loop_
_space_group_symop_operation_xyz
'x,y,z'
loop_
_atom_site_label
_atom_site_type_symbol
_atom_site_fract_x
_atom_site_fract_y
_atom_site_fract_z
_atom_site_occupancy
Y1 Y 0.000 0.000 0.000 1
Y2 Y 0.008 0.508 0.815 1
Y3 Y 0.193 0.008 0.500 1
Y4 Y 0.307 0.807 0.815 1
Y5 Y 0.492 0.307 0.500 1
Y6 Y 0.500 0.500 0.000 1
Y7 Y 0.508 0.693 0.500 1
Y8 Y 0.693 0.193 0.185 1
Y9 Y 0.807 0.992 0.500 1
Y10 Y 0.992 0.492 0.185 1
Sn1 Sn 0.143 0.357 0.500 1
Sn2 Sn 0.250 0.250 0.000 1
Sn3 Sn 0.357 0.857 0.215 1
Sn4 Sn 0.643 0.143 0.785 1
Sn5 Sn 0.750 0.750 0.000 1
Sn6 Sn 0.857 0.643 0.500 1
```

(5)
First-principles (PBE) data for a relaxed Dy2Ho3Rh2 crystal, as listed in the Alexandria database.

**Fermi-level density of states**: 6.7 states/eV/f.u.
**ρ**: 9.4 g/cm3
**Formation energy**: -0.593 eV/atom
**Electronic total energy**: -41.79 eV per cell

```
data_Dy2Ho3Rh2
_chemical_formula_sum 'Dy2 Ho3 Rh2'
_cell_length_a 6.281
_cell_length_b 6.281
_cell_length_c 8.879
_cell_angle_alpha 114.96
_cell_angle_beta 114.96
_cell_angle_gamma 35.05
_space_group_name_H-M_alt 'P 1'
_space_group_IT_number 1
loop_
_space_group_symop_operation_xyz
'x,y,z'
loop_
_atom_site_label
_atom_site_type_symbol
_atom_site_fract_x
_atom_site_fract_y
_atom_site_fract_z
_atom_site_occupancy
Dy1 Dy 0.166 0.166 0.308 1
Dy2 Dy 0.834 0.834 0.692 1
Ho1 Ho 0.384 0.384 0.070 1
Ho2 Ho 0.500 0.500 0.500 1
Ho3 Ho 0.616 0.616 0.930 1
Rh1 Rh 0.177 0.177 0.740 1
Rh2 Rh 0.823 0.823 0.260 1
```

(6)
First-principles (PBE) data for a relaxed Th2FeCo6Si crystal, as listed in the Alexandria database.

**Fermi-level density of states**: 10.8 states/eV/f.u.
**ρ**: 9.3 g/cm3
**Formation energy without anion corrections**: 93 meV per atom
**Electronic total energy**: -70.43 eV per cell

```
data_Th2FeCo6Si
_chemical_formula_sum 'Th2 Fe1 Co6 Si1'
_cell_length_a 6.116
_cell_length_b 6.116
_cell_length_c 6.116
_cell_angle_alpha 60.00
_cell_angle_beta 60.00
_cell_angle_gamma 60.00
_space_group_name_H-M_alt 'P 1'
_space_group_IT_number 1
loop_
_space_group_symop_operation_xyz
'x,y,z'
loop_
_atom_site_label
_atom_site_type_symbol
_atom_site_fract_x
_atom_site_fract_y
_atom_site_fract_z
_atom_site_occupancy
Th1 Th 0.250 0.250 0.250 1
Th2 Th 0.750 0.750 0.750 1
Fe1 Fe 0.000 0.000 0.000 1
Co1 Co 0.253 0.253 0.747 1
Co2 Co 0.253 0.747 0.253 1
Co3 Co 0.253 0.747 0.747 1
Co4 Co 0.747 0.253 0.253 1
Co5 Co 0.747 0.253 0.747 1
Co6 Co 0.747 0.747 0.253 1
Si1 Si 0.500 0.500 0.500 1
```

(7)
First-principles (PBE) data for a relaxed NdTlPt4 crystal, as listed in the Alexandria database.

**Fermi-level density of states**: 1.9 states/eV/f.u.
**ρ**: 16.1 g/cm3
**Formation energy**: -0.735 eV/atom
**Electronic total energy**: -35.71 eV per cell

```
data_NdTlPt4
_chemical_formula_sum 'Nd1 Tl1 Pt4'
_cell_length_a 5.478
_cell_length_b 5.478
_cell_length_c 5.478
_cell_angle_alpha 60.00
_cell_angle_beta 60.00
_cell_angle_gamma 60.00
_space_group_name_H-M_alt 'P 1'
_space_group_IT_number 1
loop_
_space_group_symop_operation_xyz
'x,y,z'
loop_
_atom_site_label
_atom_site_type_symbol
_atom_site_fract_x
_atom_site_fract_y
_atom_site_fract_z
_atom_site_occupancy
Nd1 Nd 0.000 0.000 0.000 1
Tl1 Tl 0.750 0.750 0.750 1
Pt1 Pt 0.375 0.375 0.375 1
Pt2 Pt 0.375 0.375 0.874 1
Pt3 Pt 0.375 0.874 0.375 1
Pt4 Pt 0.874 0.375 0.375 1
```

(8)
First-principles (PBE) data for a relaxed LiTl2GaH crystal, as listed in the Alexandria database.

**Fermi-level density of states**: 0.6 states/eV/f.u.
**ρ**: 8.0 g/cm3
**Electronic total energy**: -12.92 eV per cell

```
data_LiTl2GaH
_chemical_formula_sum 'Li1 Tl2 Ga1 H1'
_cell_length_a 5.286
_cell_length_b 5.286
_cell_length_c 3.636
_cell_angle_alpha 90.00
_cell_angle_beta 90.00
_cell_angle_gamma 90.00
_space_group_name_H-M_alt 'P 1'
_space_group_IT_number 1
loop_
_space_group_symop_operation_xyz
'x,y,z'
loop_
_atom_site_label
_atom_site_type_symbol
_atom_site_fract_x
_atom_site_fract_y
_atom_site_fract_z
_atom_site_occupancy
Li1 Li 0.000 0.000 0.000 1
Tl1 Tl 0.000 0.500 0.500 1
Tl2 Tl 0.500 0.000 0.500 1
Ga1 Ga 0.500 0.500 0.000 1
H1 H 0.000 0.000 0.500 1
```

(9)
First-principles (PBE) data for a relaxed Er4Tl5 crystal, as listed in the Alexandria database.

**Fermi-level density of states**: 7.8 states/eV/f.u.
**ρ**: 11.4 g/cm3
**Formation energy**: -0.212 eV/atom
**ΔE to the lowest computed polymorph**: 0.055 eV per atom
**Electronic total energy**: -31.99 eV per cell

```
data_Er4Tl5
_chemical_formula_sum 'Er4 Tl5'
_cell_length_a 7.680
_cell_length_b 7.680
_cell_length_c 7.680
_cell_angle_alpha 95.16
_cell_angle_beta 95.16
_cell_angle_gamma 145.08
_space_group_name_H-M_alt 'P 1'
_space_group_IT_number 1
loop_
_space_group_symop_operation_xyz
'x,y,z'
loop_
_atom_site_label
_atom_site_type_symbol
_atom_site_fract_x
_atom_site_fract_y
_atom_site_fract_z
_atom_site_occupancy
Er1 Er 0.000 0.317 0.317 1
Er2 Er 0.000 0.683 0.683 1
Er3 Er 0.317 0.000 0.317 1
Er4 Er 0.683 0.000 0.683 1
Tl1 Tl 0.000 0.000 0.000 1
Tl2 Tl 0.329 0.329 0.659 1
Tl3 Tl 0.329 0.671 0.000 1
Tl4 Tl 0.671 0.329 0.000 1
Tl5 Tl 0.671 0.671 0.341 1
```

(10)
First-principles (PBE) data for a relaxed Cs3AuS8 crystal, as listed in the Alexandria database.

**Fermi-level density of states**: 5.8 states/eV/f.u.
**ρ**: 3.3 g/cm3
**Formation energy without anion corrections**: -437 meV per atom
**Electronic total energy**: -44.10 eV per cell

```
data_Cs3AuS8
_chemical_formula_sum 'Cs3 Au1 S8'
_cell_length_a 8.221
_cell_length_b 8.217
_cell_length_c 9.524
_cell_angle_alpha 54.61
_cell_angle_beta 54.57
_cell_angle_gamma 70.82
_space_group_name_H-M_alt 'P 1'
_space_group_IT_number 1
loop_
_space_group_symop_operation_xyz
'x,y,z'
loop_
_atom_site_label
_atom_site_type_symbol
_atom_site_fract_x
_atom_site_fract_y
_atom_site_fract_z
_atom_site_occupancy
Cs1 Cs 0.000 0.000 0.000 1
Cs2 Cs 0.249 0.249 0.251 1
Cs3 Cs 0.749 0.749 0.751 1
Au1 Au 0.499 0.499 0.501 1
S1 S 0.059 0.490 0.510 1
S2 S 0.304 0.662 0.338 1
S3 S 0.336 0.694 0.664 1
S4 S 0.490 0.059 0.941 1
S5 S 0.508 0.940 0.492 1
S6 S 0.662 0.304 0.696 1
S7 S 0.694 0.336 0.306 1
S8 S 0.940 0.508 0.060 1
```

Magnetic moment for the records above, in order: 0.0 0.0 0.0 0.5 0.0 5.9 0.0 0.0 0.0 0.0 μB/f.u.